(1)
Entry from the Alexandria database: a geometry-optimized HfSI2N structure (PBE).

Calculated values
- Formation energy without anion corrections: 249.9 meV/atom

Lattice parameters (Å, degrees): 5.896 5.896 3.986 90.00 90.00 90.00
Space group P4/mmm (No. 123)
One atom of each set of equivalent atoms:
Hf1 0.000 0.000 0.000 (multiplicity 1)
S1 0.500 0.500 0.500 (multiplicity 1)
I1 0.000 0.500 0.000 (multiplicity 2)
N1 0.000 0.000 0.500 (multiplicity 1)

---

(2)
Entry from the Alexandria database: a geometry-optimized HfSI2N structure (PBE).

Calculated values
- Formation energy without anion corrections: 944.8 meV/atom

Lattice parameters (Å, degrees): 5.844 5.844 3.405 90.00 90.00 90.00
Space group P4/mmm (No. 123)
One atom of each set of equivalent atoms:
Hf1 0.000 0.000 0.000 (multiplicity 1)
S1 0.500 0.500 0.500 (multiplicity 1)
I1 0.000 0.500 0.500 (multiplicity 2)
N1 0.500 0.500 0.000 (multiplicity 1)

---

(3)
Entry from the Alexandria database: a geometry-optimized HfSbI2N structure (PBE).

Calculated values
- Formation energy without anion corrections: 888.4 meV/atom

Lattice parameters (Å, degrees): 5.712 5.712 5.636 90.00 90.00 90.00
Space group P4/mmm (No. 123)
One atom of each set of equivalent atoms:
Hf1 0.000 0.000 0.000 (multiplicity 1)
Sb1 0.000 0.000 0.500 (multiplicity 1)
I1 0.000 0.500 0.000 (multiplicity 2)
N1 0.500 0.500 0.500 (multiplicity 1)

---

(4)
Entry from the Alexandria database: a geometry-optimized HfSbIN2 structure (PBE).

Calculated values
- Formation energy without anion corrections: 561.4 meV/atom

Lattice parameters (Å, degrees): 4.291 4.291 5.780 90.00 90.00 90.00
Space group P4/mmm (No. 123)
One atom of each set of equivalent atoms:
Hf1 0.000 0.000 0.000 (multiplicity 1)
Sb1 0.500 0.500 0.500 (multiplicity 1)
I1 0.000 0.000 0.500 (multiplicity 1)
N1 0.000 0.500 0.000 (multiplicity 2)

---

no.,ΔE to the lowest computed polymorph (meV/atom),Fermi-level density of states (states/eV per cell)
1,0,4.862
2,695,4.732
3,837,3.122
4,0,4.130